# Na3NiF6, relaxed, DFT PBE with a Hubbard U
# Excess energy over the best structure of this formula in the dataset   0.107 eV per atom
# Raw total energy   -4.066 eV per atom
data_Na3NiF6
_chemical_formula_sum 'Na12 Ni4 F24'
_space_group_name_H-M_alt 'F m m m'
_space_group_IT_number 69
_space_group_name_Hall '-F 2 2'
_cell_length_a 6.984
_cell_length_b 8.214
_cell_length_c 9.614
_cell_angle_alpha 90.00
_cell_angle_beta 90.00
_cell_angle_gamma 90.00
loop_
_atom_site_label
_atom_site_fract_x
_atom_site_fract_y
_atom_site_fract_z
_atom_site_occupancy
Na1 0.000 0.000 0.000 1
Na2 0.250 0.250 0.250 1
Ni1 0.000 0.000 0.500 1
F1 0.000 0.242 0.500 1
F2 0.189 0.000 0.367 1